First-principles (PBE) data for a relaxed structure of Pr3Mg2Hg3, as listed in the Alexandria database.

Its energy of formation is -322.2 meV per atom. Its energy above the most stable polymorph in this dataset is 47 meV/atom.

It has space group Immm (No. 71), with a = 3.912 Å, b = 5.387 Å, c = 21.028 Å, α = 90.00°, β = 90.00° and γ = 90.00°. The inequivalent atoms are Pr at (0.000, 0.000, 0.000), Pr at (0.000, 0.500, 0.126), Mg at (0.000, 0.000, 0.238), Hg at (0.000, 0.000, 0.500) and Hg at (0.000, 0.500, 0.368).